La2Tm2Mg | PBE | relaxed Values from VASP.

The structure in Quantum ESPRESSO input format:
```
&SYSTEM
  ibrav = 0, nat = 10, ntyp = 3
/
ATOMIC_SPECIES
Mg 24.30 Mg.upf
La 138.91 La.upf
Tm 168.93 Tm.upf
ATOMIC_POSITIONS crystal
Mg 0.500 0.500 0.000
La 0.349 0.151 0.500
Tm 0.645 0.145 0.000
La 0.651 0.849 0.500
La 0.151 0.651 0.500
Tm 0.145 0.355 0.000
Mg 0.000 0.000 0.000
Tm 0.355 0.855 0.000
La 0.849 0.349 0.500
Tm 0.855 0.645 0.000
CELL_PARAMETERS angstrom
-5.195 -1.242 -6.319
3.778 -7.163 -1.698
-3.057 -2.316 2.969
```

Calculated values
Total DFT energy (no corrections): -3.91 eV/atom

=====

LaMgU | PBE | relaxed Values from VASP.

The structure in Quantum ESPRESSO input format:
```
&SYSTEM
  ibrav = 0, nat = 3, ntyp = 3
/
ATOMIC_SPECIES
La 138.91 La.upf
Mg 24.30 Mg.upf
U 238.03 U.upf
ATOMIC_POSITIONS crystal
La 0.250 0.250 0.250
Mg 0.750 0.750 0.750
U 0.000 0.000 0.000
CELL_PARAMETERS angstrom
-3.500 -3.772 -0.005
-5.011 1.140 0.271
-3.023 -0.699 -4.105
```

Calculated values
Total DFT energy (no corrections): -4.84 eV/atom
Excess energy over the best structure of this formula in the dataset: 0.0 meV per atom

=====

La2Mg2Zn15 | PBE | relaxed Values from VASP.

The structure in Quantum ESPRESSO input format:
```
&SYSTEM
  ibrav = 0, nat = 19, ntyp = 3
/
ATOMIC_SPECIES
Zn 65.41 Zn.upf
La 138.91 La.upf
Mg 24.30 Mg.upf
ATOMIC_POSITIONS crystal
Zn 0.352 0.352 0.840
Zn 0.000 0.000 0.500
Zn 0.840 0.352 0.352
Zn 0.291 0.709 0.000
Zn 0.709 0.000 0.291
Zn 0.291 0.000 0.709
La 0.659 0.659 0.659
Zn 0.160 0.648 0.648
Zn 0.352 0.840 0.352
Zn 0.709 0.291 0.000
Zn 0.000 0.709 0.291
Zn 0.500 0.000 0.000
Zn 0.000 0.500 0.000
Mg 0.897 0.897 0.897
Zn 0.648 0.160 0.648
Zn 0.000 0.291 0.709
Zn 0.648 0.648 0.160
Mg 0.103 0.103 0.103
La 0.341 0.341 0.341
CELL_PARAMETERS angstrom
-1.571 6.205 2.711
4.850 0.061 4.979
4.768 3.715 -3.432
```

Calculated values
Total DFT energy (no corrections): -1.94 eV/atom